No. 1
## AcPmNi2 (PBE)

Data for AcPmNi2 after structural relaxation.

Lattice parameters (Å, degrees): 3.9394 4.3436 5.8405 90.00 109.58 90.00
Fractional positions:
Ac (0.0000, 0.0000, 0.0000)
Pm (0.2720, 0.5000, 0.5435)
Ni (0.5758, 0.5000, 0.1513)
Ni (0.7129, 0.0000, 0.4268)

## Properties
The calculation puts the energy above the most stable polymorph in this dataset at 0.0 meV per atom. The energy of formation is -0.2862 eV/atom. The spin magnetization is 0.00 μB/f.u.


No. 2
## AcPmNi (PBE)

Data for AcPmNi after structural relaxation.

Lattice parameters (Å, degrees): 7.5103 7.5103 7.5103 150.06 122.01 66.63
Fractional positions:
Ac (0.2228, 0.2228, 0.0000)
Ac (0.7772, 0.7772, 0.0000)
Pm (0.2629, 0.5000, 0.7629)
Pm (0.7371, 0.5000, 0.2371)
Ni (0.3978, 0.8978, 0.5000)
Ni (0.6022, 0.1022, 0.5000)

## Properties
The calculation puts the energy above the most stable polymorph in this dataset at 0.0 meV per atom. The energy of formation is -0.2016 eV/atom. The spin magnetization is 0.00 μB/f.u.